# 1
LuPbNO: relaxed, PBE.

Cell and atoms, written as POSCAR:
```
LuPbNO
1.0
5.701 0.000 0.000
0.000 8.135 0.000
0.000 0.000 5.655
Lu Pb N O
4 4 4 4
Cartesian
0.032 0.925 0.000
2.819 0.925 2.827
2.882 7.210 0.000
5.669 7.210 2.827
0.106 5.177 5.614
2.745 5.177 2.787
2.956 2.958 5.614
5.595 2.958 2.787
0.431 5.105 3.243
2.419 5.105 0.415
3.282 3.030 3.243
5.270 3.030 0.415
1.413 8.087 1.407
1.438 8.087 4.235
4.263 0.047 1.407
4.288 0.047 4.235
```

Output
SG: Pca2_1
Electronic total energy (eV per cell): -110.8

***

# 2
LuPdNO: relaxed, PBE.

Cell and atoms, written as POSCAR:
```
LuPdNO
1.0
3.686 0.000 0.000
0.000 5.938 0.000
0.000 0.000 5.367
Lu Pd N O
2 2 2 2
Cartesian
0.000 1.258 0.000
0.000 4.680 2.683
1.843 1.400 2.723
1.843 4.538 0.040
0.000 0.924 2.211
0.000 5.013 4.895
1.843 2.118 4.800
1.843 3.820 2.117
```

Output
SG: Pmc2_1
Electronic total energy (eV per cell): -54.6

***

# 3
LuPdNO: relaxed, PBE.

Cell and atoms, written as POSCAR:
```
LuPdNO
1.0
4.121 0.000 0.000
0.000 4.121 0.000
0.000 0.000 6.830
Lu Pd N O
2 2 2 2
Cartesian
1.030 1.030 0.853
3.091 3.091 5.977
1.030 3.091 3.415
3.091 1.030 3.415
1.030 1.030 3.018
3.091 3.091 3.812
1.030 3.091 0.000
3.091 1.030 0.000
```

Output
SG: P4/nmm
Electronic total energy (eV per cell): -57.4

***

Q: The highest electronic total energy belongs to which entry?
A: number 2